# 1
In2GeC: relaxed, GGA-PBE.

## Properties
- Formation enthalpy at 0 K: 1.34 eV per atom
- Symmetry: Fm-3m

Lattice parameters (Å, degrees): 4.7759 4.7759 4.7759 60.00 60.00 60.00
With the nearest neighbours (Å) after each atom.
Fractional coordinates of all 4 atoms:
Ge: 0.5000 0.5000 0.5000  8 In 2.92
C: 0.0000 0.0000 0.0000  8 In 2.92
In: 0.2500 0.2500 0.2500  4 Ge 2.92, 4 C 2.92
In: 0.7500 0.7500 0.7500  4 Ge 2.92, 4 C 2.92

# 2
DyMgInPt: relaxed, GGA-PBE.

## Properties
- Formation enthalpy at 0 K: -0.67 eV per atom
- Symmetry: F-43m

Lattice parameters (Å, degrees): 4.9235 4.9235 4.9235 60.00 60.00 60.00
With the nearest neighbours (Å) after each atom.
Fractional coordinates of all 4 atoms:
Mg: 0.5000 0.5000 0.5000  4 In 3.01, 4 Pt 3.01
In: 0.2500 0.2500 0.2500  4 Dy 3.01, 4 Mg 3.01
Pt: 0.7500 0.7500 0.7500  4 Mg 3.01, 4 Dy 3.01
Dy: 0.0000 0.0000 0.0000  4 Pt 3.01, 4 In 3.01

# 3
ZrTaAs2Cl: relaxed, GGA-PBE.

## Properties
- Symmetry: P4/mmm

Lattice parameters (Å, degrees): 5.0869 5.2524 5.0869 90.00 90.00 90.00
With the nearest neighbours (Å) after each atom.
Fractional coordinates of all 5 atoms:
As: 0.0000 0.0000 0.5000  2 Zr 2.54
As: 0.5000 0.0000 0.0000  2 Zr 2.54
Cl: 0.5000 0.5000 0.5000  4 Ta 3.60, 8 As 3.66
Zr: 0.0000 0.0000 0.0000  4 As 2.54, 2 Ta 2.63
Ta: 0.0000 0.5000 0.0000  2 Zr 2.63

# 4
Er4Te3Se: relaxed, GGA-PBE.

## Properties
- Symmetry: Pmn2_1

Lattice parameters (Å, degrees): 7.7604 7.9533 9.3074 90.00 90.00 90.00
With the nearest neighbours (Å) after each atom.
Fractional coordinates of all 16 atoms:
Er: 0.1518 0.9001 0.0000  1 Se 2.81, 3 Te 3.04-3.06
Er: 0.5484 0.1533 0.0000  1 Se 2.86, 3 Te 2.99-3.00
Er: 0.1567 0.2880 0.1984  1 Se 2.79, 3 Te 3.02-3.05
Er: 0.6567 0.7120 0.3016  1 Se 2.79, 3 Te 3.02-3.05
Er: 0.0484 0.8467 0.5000  1 Se 2.86, 3 Te 2.99-3.00
Er: 0.6518 0.0999 0.5000  1 Se 2.81, 3 Te 3.04-3.06
Er: 0.6567 0.7120 0.6984  1 Se 2.79, 3 Te 3.02-3.05
Er: 0.1567 0.2880 0.8016  1 Se 2.79, 3 Te 3.02-3.05
Te: 0.5260 0.7778 0.0000  4 Er 2.99-3.06
Te: 0.0295 0.6494 0.2252  4 Er 3.00-3.05
Te: 0.5295 0.3506 0.2748  4 Er 3.00-3.05
Te: 0.0260 0.2222 0.5000  4 Er 2.99-3.06
Te: 0.5295 0.3506 0.7252  4 Er 3.00-3.05
Te: 0.0295 0.6494 0.7748  4 Er 3.00-3.05
Se: 0.9166 0.1688 0.0000  4 Er 2.79-2.86
Se: 0.4166 0.8312 0.5000  4 Er 2.79-2.86

Listing total energy for the structures above in their given order: -3.490, -4.411, -5.410, -4.916 eV per atom.